DFT (GGA+U) results for a geometry-optimized VINO2 structure.

Lattice parameters (Å, degrees): 3.5891 3.5891 6.0729 90.00 90.00 90.00
Last column: nearest neighbours and their distance in Å.
Atoms (fractional coordinates):
V1 0.0000 0.0000 0.0000  4 O 1.79
I1 0.0000 0.0000 0.5000  4 N 2.54
O1 0.0000 0.5000 0.0000  2 V 1.79
O2 0.5000 0.0000 0.0000  2 V 1.79
N1 0.5000 0.5000 0.5000  4 I 2.54

VASP energy (eV/atom): -5.3649
Symmetry: P4/mmm, No. 123